Entry 1:
A relaxed VP2SeCl crystal. Source: Alexandria via LeMat-Bulk, functional PBE.

Cell: 4.7158 4.7158 4.3861 Å, 90.00 90.00 90.00°
Sites, in units of the cell vectors:
V1 0.0000 0.0000 0.0000
P1 0.0000 0.5000 0.0000
P2 0.5000 0.0000 0.0000
Se1 0.5000 0.5000 0.5000
Cl1 0.0000 0.0000 0.5000

Properties
Crystal system: tetragonal
ΔE_f (raw), eV per atom: 0.266
SG: No. 123

***

Entry 2:
A relaxed VPSeCl2 crystal. Source: Alexandria via LeMat-Bulk, functional PBE.

Cell: 4.4104 4.4104 5.2144 Å, 90.00 90.00 90.00°
Sites, in units of the cell vectors:
V1 0.0000 0.0000 0.0000
P1 0.0000 0.0000 0.5000
Se1 0.5000 0.5000 0.5000
Cl1 0.0000 0.5000 0.0000
Cl2 0.5000 0.0000 0.0000

Properties
Crystal system: tetragonal
ΔE_f (raw), eV per atom: 0.020
SG: No. 123

***

Entry 3:
A relaxed VPSeCl2 crystal. Source: Alexandria via LeMat-Bulk, functional PBE.

Cell: 4.8165 4.8165 5.2042 Å, 90.00 90.00 90.00°
Sites, in units of the cell vectors:
V1 0.0000 0.0000 0.0000
P1 0.5000 0.5000 0.0000
Se1 0.5000 0.5000 0.5000
Cl1 0.0000 0.5000 0.5000
Cl2 0.5000 0.0000 0.5000

Properties
Crystal system: tetragonal
ΔE_f (raw), eV per atom: 0.765
SG: No. 123

***

Entry 4:
A relaxed VP2SeCl crystal. Source: Alexandria via LeMat-Bulk, functional PBE.

Cell: 4.8210 4.8210 4.6508 Å, 90.00 90.00 90.00°
Sites, in units of the cell vectors:
V1 0.0000 0.0000 0.0000
P1 0.0000 0.5000 0.5000
P2 0.5000 0.0000 0.5000
Se1 0.5000 0.5000 0.5000
Cl1 0.5000 0.5000 0.0000

Properties
Crystal system: tetragonal
ΔE_f (raw), eV per atom: 1.235
SG: No. 123

***

Entry 5:
A relaxed PWSeCl2 crystal. Source: Alexandria via LeMat-Bulk, functional PBE.

Cell: 4.6963 4.6963 5.3894 Å, 90.00 90.00 90.00°
Sites, in units of the cell vectors:
P1 0.0000 0.0000 0.0000
W1 0.5000 0.5000 0.0000
Se1 0.0000 0.0000 0.5000
Cl1 0.0000 0.5000 0.5000
Cl2 0.5000 0.0000 0.5000

Properties
Crystal system: tetragonal
ΔE_f (raw), eV per atom: 1.438
SG: No. 123

***

Entry 6:
A relaxed P2WSeCl crystal. Source: Alexandria via LeMat-Bulk, functional PBE.

Cell: 4.8311 4.8311 4.5378 Å, 90.00 90.00 90.00°
Sites, in units of the cell vectors:
P1 0.0000 0.5000 0.0000
P2 0.5000 0.0000 0.0000
W1 0.0000 0.0000 0.5000
Se1 0.5000 0.5000 0.0000
Cl1 0.5000 0.5000 0.5000

Properties
Crystal system: tetragonal
ΔE_f (raw), eV per atom: 1.608
SG: No. 123

***

Entry 7:
A relaxed PWSeCl2 crystal. Source: Alexandria via LeMat-Bulk, functional PBE.

Cell: 4.5980 4.5980 5.0446 Å, 90.00 90.00 90.00°
Sites, in units of the cell vectors:
P1 0.0000 0.0000 0.0000
W1 0.0000 0.0000 0.5000
Se1 0.5000 0.5000 0.0000
Cl1 0.0000 0.5000 0.5000
Cl2 0.5000 0.0000 0.5000

Properties
Crystal system: tetragonal
ΔE_f (raw), eV per atom: 0.406
SG: No. 123

***

Entry 8:
A relaxed P2WSeCl crystal. Source: Alexandria via LeMat-Bulk, functional PBE.

Cell: 4.7896 4.7896 4.5960 Å, 90.00 90.00 90.00°
Sites, in units of the cell vectors:
P1 0.0000 0.5000 0.0000
P2 0.5000 0.0000 0.0000
W1 0.0000 0.0000 0.0000
Se1 0.5000 0.5000 0.5000
Cl1 0.0000 0.0000 0.5000

Properties
Crystal system: tetragonal
ΔE_f (raw), eV per atom: 0.497
SG: No. 123

***

Entry 9:
A relaxed Y2PSeCl crystal. Source: Alexandria via LeMat-Bulk, functional PBE.

Cell: 5.3005 5.3005 4.9777 Å, 90.00 90.00 90.00°
Sites, in units of the cell vectors:
Y1 0.0000 0.5000 0.0000
Y2 0.5000 0.0000 0.0000
P1 0.0000 0.0000 0.0000
Se1 0.0000 0.0000 0.5000
Cl1 0.5000 0.5000 0.5000

Properties
Crystal system: tetragonal
ΔE_f (raw), eV per atom: -0.690
SG: No. 123

***

Entry 10:
A relaxed Y4PSe2Cl crystal. Source: Alexandria via LeMat-Bulk, functional PBE.

Cell: 7.0258 4.0291 7.0513 Å, 90.00 108.96 90.00°
Sites, in units of the cell vectors:
Y1 0.2323 0.0000 0.2233
Y2 0.2485 0.5000 0.7749
Y3 0.7515 0.5000 0.2251
Y4 0.7677 0.0000 0.7767
P1 0.0000 0.5000 0.0000
Se1 0.5000 0.0000 0.0000
Se2 0.5000 0.5000 0.5000
Cl1 0.0000 0.0000 0.5000

Properties
Crystal system: monoclinic
ΔE_f (raw), eV per atom: -1.641
SG: No. 10

***

Entry 11:
A relaxed YP2SeCl crystal. Source: Alexandria via LeMat-Bulk, functional PBE.

Cell: 5.4726 5.4726 5.0193 Å, 90.00 90.00 90.00°
Sites, in units of the cell vectors:
Y1 0.0000 0.0000 0.0000
P1 0.0000 0.5000 0.0000
P2 0.5000 0.0000 0.0000
Se1 0.5000 0.5000 0.5000
Cl1 0.0000 0.0000 0.5000

Properties
Crystal system: tetragonal
ΔE_f (raw), eV per atom: 0.233
SG: No. 123

***

Entry 12:
A relaxed YP2SeCl crystal. Source: Alexandria via LeMat-Bulk, functional PBE.

Cell: 4.8625 4.8625 4.7570 Å, 90.00 90.00 90.00°
Sites, in units of the cell vectors:
Y1 0.0000 0.0000 0.0000
P1 0.0000 0.5000 0.5000
P2 0.5000 0.0000 0.5000
Se1 0.5000 0.5000 0.5000
Cl1 0.5000 0.5000 0.0000

Properties
Crystal system: tetragonal
ΔE_f (raw), eV per atom: 0.050
SG: No. 123

***

Entry 13:
A relaxed ZrP2SeCl crystal. Source: Alexandria via LeMat-Bulk, functional PBE.

Cell: 5.1426 5.1426 4.8305 Å, 90.00 90.00 90.00°
Sites, in units of the cell vectors:
Zr1 0.0000 0.0000 0.0000
P1 0.0000 0.5000 0.0000
P2 0.5000 0.0000 0.0000
Se1 0.5000 0.5000 0.5000
Cl1 0.0000 0.0000 0.5000

Properties
Crystal system: tetragonal
ΔE_f (raw), eV per atom: 0.152
SG: No. 123

***

Entry 14:
A relaxed ZrP2SeCl crystal. Source: Alexandria via LeMat-Bulk, functional PBE.

Cell: 4.8449 4.8449 4.5330 Å, 90.00 90.00 90.00°
Sites, in units of the cell vectors:
Zr1 0.0000 0.0000 0.0000
P1 0.0000 0.5000 0.5000
P2 0.5000 0.0000 0.5000
Se1 0.5000 0.5000 0.5000
Cl1 0.5000 0.5000 0.0000

Properties
Crystal system: tetragonal
ΔE_f (raw), eV per atom: 0.586
SG: No. 123